1.
Material: Sr2TbUAs4
Method: DFT, GGA-PBE
State: relaxed

Unit cell a=4.2779 b=7.3320 c=7.5279 alpha=108.94 beta=90.00 gamma=90.00
Last column: nearest neighbours and their distance in Å.
Atoms (fractional coordinates):
Sr 0.5000 0.0000 0.5000  6 As 3.22-3.23
Sr 0.0000 0.5000 0.5000  6 As 3.13-3.14
Tb 0.0000 0.0000 0.0000  6 As 2.94-2.95
U 0.5000 0.5000 0.0000  6 As 2.82-2.88
As 0.5000 0.2516 0.2184  1 U 2.82, 2 Tb 2.95, 2 Sr 3.14
As 0.5000 0.7484 0.7816  1 U 2.82, 2 Tb 2.95, 2 Sr 3.14
As 0.0000 0.2701 0.7849  2 U 2.88, 1 Tb 2.94, 3 Sr 3.13-3.22
As 0.0000 0.7299 0.2151  2 U 2.88, 1 Tb 2.94, 3 Sr 3.13-3.22

Properties
Formation enthalpy at 0 K (eV per atom): -1.15
Total energy (eV per atom): -5.8827


2.
Material: Sr2TbZrAs4
Method: DFT, GGA-PBE
State: relaxed

Unit cell a=4.1433 b=7.2150 c=7.5275 alpha=108.37 beta=90.00 gamma=90.00
Last column: nearest neighbours and their distance in Å.
Atoms (fractional coordinates):
Sr 0.5000 0.0000 0.5000  6 As 3.08-3.09
Sr 0.0000 0.5000 0.5000  6 As 3.18-3.19
Tb 0.5000 0.5000 0.0000  6 As 2.91
Zr 0.0000 0.0000 0.0000  6 As 2.79-2.81
As 0.5000 0.2271 0.2148  2 Zr 2.81, 1 Tb 2.91, 1 Sr 3.08
As 0.5000 0.7729 0.7852  2 Zr 2.81, 1 Tb 2.91, 1 Sr 3.08
As 0.0000 0.2477 0.7805  1 Zr 2.79, 2 Tb 2.91, 2 Sr 3.09
As 0.0000 0.7523 0.2195  1 Zr 2.79, 2 Tb 2.91, 2 Sr 3.09

Properties
Formation enthalpy at 0 K (eV per atom): -1.18
Total energy (eV per atom): -5.5687


3.
Material: SrTc4As
Method: DFT, GGA-PBE
State: relaxed

Unit cell a=5.3500 b=5.3500 c=5.3500 alpha=60.00 beta=60.00 gamma=60.00
Last column: nearest neighbours and their distance in Å.
Atoms (fractional coordinates):
Sr 0.0000 0.0000 0.0000  12 Tc 3.14, 4 As 3.28
Tc 0.8697 0.3768 0.3768  6 Tc 2.64-2.71
Tc 0.3768 0.3768 0.8697  6 Tc 2.64-2.71
Tc 0.3768 0.8697 0.3768  6 Tc 2.64-2.71
Tc 0.3768 0.3768 0.3768  6 Tc 2.64-2.71
As 0.7500 0.7500 0.7500  12 Tc 3.13, 4 Sr 3.28

Properties
Formation enthalpy at 0 K (eV per atom): 0.56
Total energy (eV per atom): -7.4037


4.
Material: Sr4TcAs
Method: DFT, GGA-PBE
State: relaxed

Unit cell a=6.6946 b=6.6946 c=6.6946 alpha=60.00 beta=60.00 gamma=60.00
Last column: nearest neighbours and their distance in Å.
Atoms (fractional coordinates):
Sr 0.8739 0.3754 0.3754  6 Sr 3.34-3.36
Sr 0.3754 0.3754 0.8739  6 Sr 3.34-3.36
Sr 0.3754 0.8739 0.3754  6 Sr 3.34-3.36
Sr 0.3754 0.3754 0.3754  6 Sr 3.34-3.36
Tc 0.7500 0.7500 0.7500  12 Sr 3.92, 4 As 4.10
As 0.0000 0.0000 0.0000  12 Sr 3.93, 4 Tc 4.10

Properties
Formation enthalpy at 0 K (eV per atom): 0.98
Total energy (eV per atom): -2.6441


5.
Material: SrTcAs3
Method: DFT, GGA-PBE
State: relaxed

Unit cell a=4.9301 b=4.9301 c=4.9301 alpha=90.00 beta=90.00 gamma=90.00
Last column: nearest neighbours and their distance in Å.
Atoms (fractional coordinates):
Sr 0.5000 0.5000 0.5000  12 As 3.49
As 0.0000 0.5000 0.0000  2 Tc 2.47
As 0.0000 0.0000 0.5000  2 Tc 2.47
As 0.5000 0.0000 0.0000  2 Tc 2.47
Tc 0.0000 0.0000 0.0000  6 As 2.47

Properties
Formation enthalpy at 0 K (eV per atom): -0.13
Total energy (eV per atom): -5.3326
Relative energy among the computed polymorphs (meV/atom): 0


6.
Material: Sr2TcAs2
Method: DFT, GGA-PBE
State: relaxed

Unit cell a=6.8661 b=6.8661 c=4.8901 alpha=90.00 beta=90.00 gamma=90.00
Last column: nearest neighbours and their distance in Å.
Atoms (fractional coordinates):
Sr 0.1753 0.6753 0.5000  6 As 3.02-3.28
Sr 0.6753 0.8247 0.5000  6 As 3.02-3.28
Sr 0.8247 0.3247 0.5000  6 As 3.02-3.28
Sr 0.3247 0.1753 0.5000  6 As 3.02-3.28
As 0.3580 0.8580 0.0000  2 Tc 2.64, 1 As 2.76
As 0.8580 0.6420 0.0000  2 Tc 2.64, 1 As 2.76
As 0.6420 0.1420 0.0000  2 Tc 2.64, 1 As 2.76
As 0.1420 0.3580 0.0000  2 Tc 2.64, 1 As 2.76
Tc 0.0000 0.0000 0.0000  4 As 2.64
Tc 0.5000 0.5000 0.0000  4 As 2.64

Properties
Formation enthalpy at 0 K (eV per atom): -0.47
Total energy (eV per atom): -5.0775


7.
Material: SrTc2As2
Method: DFT, GGA-PBE
State: relaxed

Unit cell a=4.0559 b=4.0559 c=6.1081 alpha=90.00 beta=90.00 gamma=90.00
Last column: nearest neighbours and their distance in Å.
Atoms (fractional coordinates):
Sr 0.0000 0.0000 0.0000  8 As 3.25
Tc 0.5000 0.0000 0.5000  4 As 2.54
Tc 0.0000 0.5000 0.5000  4 As 2.54
As 0.5000 0.5000 0.7501  4 Tc 2.54
As 0.5000 0.5000 0.2499  4 Tc 2.54

Properties
Formation enthalpy at 0 K (eV per atom): -0.29
Total energy (eV per atom): -6.6286
Relative energy among the computed polymorphs (meV/atom): 192


8.
Material: SrTcAs3
Method: DFT, GGA-PBE
State: relaxed

Unit cell a=5.3168 b=5.3168 c=5.3168 alpha=90.00 beta=90.00 gamma=90.00
Last column: nearest neighbours and their distance in Å.
Atoms (fractional coordinates):
Sr 0.0000 0.0000 0.0000  6 As 2.66
As 0.0000 0.5000 0.0000  2 Sr 2.66
As 0.0000 0.0000 0.5000  2 Sr 2.66
As 0.5000 0.0000 0.0000  2 Sr 2.66
Tc 0.5000 0.5000 0.5000  12 As 3.76

Properties
Formation enthalpy at 0 K (eV per atom): 1.99
Total energy (eV per atom): -3.2140
Relative energy among the computed polymorphs (meV/atom): 2119